This record from Alexandria via LeMat-Bulk describes a relaxed LiTa2Cd crystal. The functional is PBE-GGA.

The energy is -6.21 eV/atom. As for the crystal system: orthorhombic. The density of states at the Fermi level comes out at 4.19 states/eV/f.u. The formation energy is 0.426 eV/atom.

```
8
Lattice="3.136 0.000 0.000 0.000 4.563 0.000 0.000 0.000 10.424" Properties=species:S:1:pos:R:3 pbc="T T T"
Li 0.000 0.000 0.000
Li 1.568 2.282 0.000
Ta 0.000 2.282 2.593
Ta 0.000 2.282 7.831
Ta 1.568 0.000 2.593
Ta 1.568 0.000 7.831
Cd 0.000 0.000 5.212
Cd 1.568 2.282 5.212
```

This record from Alexandria via LeMat-Bulk describes a relaxed LiTaCd2 crystal. The functional is PBE-GGA.

The energy is -3.83 eV/atom. As for the crystal system: tetragonal. The density of states at the Fermi level comes out at 1.92 states/eV/f.u. The formation energy is 0.070 eV/atom. The distance to the lowest polymorph of the same formula comes out at 0.0 meV per atom.

```
4
Lattice="2.985 0.000 0.000 0.000 2.985 0.000 0.000 0.000 8.220" Properties=species:S:1:pos:R:3 pbc="T T T"
Li 0.000 0.000 0.000
Ta 0.000 0.000 4.110
Cd 1.493 1.493 1.930
Cd 1.493 1.493 6.289
```

This record from Alexandria via LeMat-Bulk describes a relaxed LiTaCd crystal. The functional is PBE-GGA.

The energy is -4.68 eV/atom. As for the crystal system: monoclinic. The density of states at the Fermi level comes out at 1.12 states/eV/f.u. The formation energy is 0.210 eV/atom. The distance to the lowest polymorph of the same formula comes out at 122.3 meV per atom.

```
12
Lattice="10.104 0.000 0.000 0.000 2.960 0.000 -2.445 0.000 7.239" Properties=species:S:1:pos:R:3 pbc="T T T"
Li 0.000 0.000 0.000
Li -0.346 1.480 6.603
Li 5.052 1.480 0.000
Li 4.706 0.000 6.603
Ta 0.875 1.480 2.387
Ta 3.131 0.000 1.679
Ta 5.927 0.000 2.387
Ta 8.183 1.480 1.679
Cd -1.191 0.000 4.194
Cd 1.526 0.000 5.155
Cd 3.861 1.480 4.194
Cd 6.578 1.480 5.155
```

This record from Alexandria via LeMat-Bulk describes a relaxed LiTaCd2Te crystal. The functional is PBE-GGA.

The energy is -2.99 eV/atom. As for the crystal system: tetragonal. The density of states at the Fermi level comes out at 4.35 states/eV/f.u. For the uncorrected formation energy, the calculation gives 0.76 eV/atom.

```
5
Lattice="4.656 0.000 0.000 0.000 4.656 0.000 0.000 0.000 4.962" Properties=species:S:1:pos:R:3 pbc="T T T"
Li 0.000 0.000 0.000
Ta 0.000 0.000 2.481
Cd 0.000 2.328 0.000
Cd 2.328 0.000 0.000
Te 2.328 2.328 2.481
```

This record from Alexandria via LeMat-Bulk describes a relaxed LiTaTiCd2 crystal. The functional is PBE-GGA.

The energy is -3.84 eV/atom. As for the crystal system: tetragonal. The density of states at the Fermi level comes out at 4.29 states/eV/f.u. The formation energy is 0.857 eV/atom.

```
5
Lattice="5.473 0.000 0.000 0.000 5.473 0.000 0.000 0.000 4.673" Properties=species:S:1:pos:R:3 pbc="T T T"
Li 0.000 0.000 0.000
Ta 2.736 2.736 2.337
Ti 2.736 2.736 0.000
Cd 0.000 2.736 2.337
Cd 2.736 0.000 2.337
```

This record from Alexandria via LeMat-Bulk describes a relaxed Li3TbCd3 crystal. The functional is PBE-GGA.

The energy is -1.66 eV/atom. As for the crystal system: cubic. The density of states at the Fermi level comes out at 4.99 states/eV/f.u. The formation energy is 0.218 eV/atom.

```
14
Lattice="6.953 0.000 0.000 0.000 6.953 0.000 0.000 0.000 6.953" Properties=species:S:1:pos:R:3 pbc="T T T"
Li 0.000 1.738 3.477
Li 0.000 5.215 3.477
Li 1.738 3.477 0.000
Li 3.477 0.000 1.738
Li 3.477 0.000 5.215
Li 5.215 3.477 0.000
Tb 0.000 0.000 0.000
Tb 3.477 3.477 3.477
Cd 0.000 3.477 1.738
Cd 0.000 3.477 5.215
Cd 1.738 0.000 3.477
Cd 3.477 1.738 0.000
Cd 3.477 5.215 0.000
Cd 5.215 0.000 3.477
```